No. 1
HoPaSi2Rh5 | GGA-PBE | optimized geometry

Cell: 3.9813 3.9813 11.0305 Å, 90.00 90.00 90.00°
With the nearest neighbours (Å) after each atom.
Sites, in units of the cell vectors:
Ho  0.0000  0.0000  0.0000  4 Rh 2.82
Pa  0.5000  0.5000  0.5000  8 Rh 2.77
Si  0.5000  0.5000  0.2080  5 Rh 2.29-2.38
Si  0.5000  0.5000  0.7920  5 Rh 2.29-2.38
Rh  0.0000  0.5000  0.3256  2 Si 2.38
Rh  0.0000  0.5000  0.6744  2 Si 2.38
Rh  0.5000  0.0000  0.3256  2 Si 2.38
Rh  0.5000  0.0000  0.6744  2 Si 2.38
Rh  0.5000  0.5000  0.0000  2 Si 2.29

* DFT total energy: -66.893 eV per formula unit
* formation energy (no corrections): -0.5795 eV/atom


No. 2
Sm2HoPa2Rh5 | GGA-PBE | optimized geometry

Cell: 10.9142 10.9142 3.6093 Å, 90.00 90.00 90.00°
With the nearest neighbours (Å) after each atom.
Sites, in units of the cell vectors:
Sm  0.1715  0.3285  0.0000  1 Pa 2.96, 2 Rh 3.20
Sm  0.3285  0.8285  0.0000  1 Pa 2.96, 2 Rh 3.20
Sm  0.6715  0.1715  0.0000  1 Pa 2.96, 2 Rh 3.20
Sm  0.8285  0.6715  0.0000  1 Pa 2.96, 2 Rh 3.20
Ho  0.0000  0.0000  0.0000  8 Rh 2.91
Ho  0.5000  0.5000  0.0000  8 Rh 2.91
Pa  0.1368  0.6368  0.0000  6 Rh 2.68-2.78, 1 Sm 2.96
Pa  0.3632  0.1368  0.0000  6 Rh 2.68-2.78, 1 Sm 2.96
Pa  0.6368  0.8632  0.0000  6 Rh 2.68-2.78, 1 Sm 2.96
Pa  0.8632  0.3632  0.0000  6 Rh 2.68-2.78, 1 Sm 2.96
Rh  0.0000  0.5000  0.5000  4 Pa 2.78
Rh  0.0520  0.7971  0.5000  2 Pa 2.68, 2 Ho 2.91
Rh  0.2029  0.0520  0.5000  2 Pa 2.68, 2 Ho 2.91
Rh  0.2971  0.5520  0.5000  2 Pa 2.68, 2 Ho 2.91
Rh  0.4480  0.2971  0.5000  2 Pa 2.68, 2 Ho 2.91
Rh  0.5000  0.0000  0.5000  4 Pa 2.78
Rh  0.5520  0.7029  0.5000  2 Pa 2.68, 2 Ho 2.91
Rh  0.7029  0.4480  0.5000  2 Pa 2.68, 2 Ho 2.91
Rh  0.7971  0.9480  0.5000  2 Pa 2.68, 2 Ho 2.91
Rh  0.9480  0.2029  0.5000  2 Pa 2.68, 2 Ho 2.91

* ΔH_f (0 K): -0.67 eV/atom
* DFT total energy: -76.447 eV per formula unit


No. 3
TbHoPa2Rh4 | GGA-PBE | optimized geometry

Cell: 6.8753 5.6552 6.6623 Å, 67.29 49.35 63.36°
With the nearest neighbours (Å) after each atom.
Sites, in units of the cell vectors:
Tb  0.0000  0.0000  0.0000  6 Rh 2.76-2.89
Ho  0.5810  0.5810  0.4190  6 Rh 2.81-2.93
Pa  0.3447  0.3447  0.1553  6 Rh 2.78-2.88
Pa  0.8447  0.8447  0.6553  6 Rh 2.78-2.88
Rh  0.0992  0.4927  0.9008  2 Pa 2.79, 2 Ho 2.81-2.93, 2 Tb 2.87-2.89, 1 Rh 3.00
Rh  0.3422  0.8628  0.1372  1 Tb 2.76, 4 Pa 2.78-2.88, 1 Ho 2.85
Rh  0.4927  0.0992  0.5073  2 Pa 2.79, 2 Ho 2.81-2.93, 2 Tb 2.87-2.89, 1 Rh 3.00
Rh  0.8628  0.3422  0.6578  1 Tb 2.76, 4 Pa 2.78-2.88, 1 Ho 2.85

* ΔH_f (0 K): -0.71 eV/atom
* DFT total energy: -63.279 eV per formula unit


No. 4
Tb2HoPa2Rh5 | GGA-PBE | optimized geometry

Cell: 10.8453 10.8453 3.6071 Å, 90.00 90.00 90.00°
With the nearest neighbours (Å) after each atom.
Sites, in units of the cell vectors:
Tb  0.1706  0.3294  0.0000  1 Pa 2.95, 6 Rh 3.18-3.28
Tb  0.3294  0.8294  0.0000  1 Pa 2.95, 6 Rh 3.18-3.28
Tb  0.6706  0.1706  0.0000  1 Pa 2.95, 6 Rh 3.18-3.28
Tb  0.8294  0.6706  0.0000  1 Pa 2.95, 6 Rh 3.18-3.28
Ho  0.0000  0.0000  0.0000  8 Rh 2.91
Ho  0.5000  0.5000  0.0000  8 Rh 2.91
Pa  0.1371  0.6371  0.0000  6 Rh 2.67-2.77, 1 Tb 2.95
Pa  0.3629  0.1371  0.0000  6 Rh 2.67-2.77, 1 Tb 2.95
Pa  0.6371  0.8629  0.0000  6 Rh 2.67-2.77, 1 Tb 2.95
Pa  0.8629  0.3629  0.0000  6 Rh 2.67-2.77, 1 Tb 2.95
Rh  0.0000  0.5000  0.5000  4 Pa 2.77
Rh  0.0494  0.7955  0.5000  2 Pa 2.67, 2 Ho 2.91
Rh  0.2045  0.0494  0.5000  2 Pa 2.67, 2 Ho 2.91
Rh  0.2955  0.5494  0.5000  2 Pa 2.67, 2 Ho 2.91
Rh  0.4506  0.2955  0.5000  2 Pa 2.67, 2 Ho 2.91
Rh  0.5000  0.0000  0.5000  4 Pa 2.77
Rh  0.5494  0.7045  0.5000  2 Pa 2.67, 2 Ho 2.91
Rh  0.7045  0.4506  0.5000  2 Pa 2.67, 2 Ho 2.91
Rh  0.7955  0.9506  0.5000  2 Pa 2.67, 2 Ho 2.91
Rh  0.9506  0.2045  0.5000  2 Pa 2.67, 2 Ho 2.91

* ΔH_f (0 K): -0.68 eV/atom
* DFT total energy: -76.392 eV per formula unit


Look up the DFT total energy of the fourth one.
-76.392 eV per formula unit